An optimized crystal structure of Mg5Tl3, computed with GGA-PBEsol.

Summary:
**Relative energy among the computed polymorphs**: 0.141 eV per formula unit
**Space-group type**: P6_3/mcm
**Formation energy from the elements**: -0.0600 eV/atom
**DOS at the Fermi energy**: 6.06 states/eV/cell

a = 8.5132 Å, b = 8.5132 Å, c = 6.0079 Å
α = 90.00°, β = 90.00°, γ = 120.00°
Element x y z (fractional)
Mg 0.0000 0.2334 0.2500
Mg 0.0000 0.7666 0.7500
Mg 0.2334 0.0000 0.2500
Mg 0.2334 0.2334 0.7500
Mg 0.3333 0.6667 0.0000
Mg 0.3333 0.6667 0.5000
Mg 0.6667 0.3333 0.0000
Mg 0.6667 0.3333 0.5000
Mg 0.7666 0.0000 0.7500
Mg 0.7666 0.7666 0.2500
Tl 0.0000 0.3962 0.7500
Tl 0.0000 0.6038 0.2500
Tl 0.3962 0.0000 0.7500
Tl 0.3962 0.3962 0.2500
Tl 0.6038 0.0000 0.2500
Tl 0.6038 0.6038 0.7500